## ZnMoBr (GGA-PBEsol)

Data for a relaxed structure of ZnMoBr.

Structure (CIF):
```
data_ZnMoBr
_chemical_formula_sum 'Zn4 Mo4 Br4'
_symmetry_space_group_name_H-M 'F -4 3 m'
_symmetry_Int_Tables_number 216
_symmetry_space_group_name_Hall 'F -4 2 3'
_cell_length_a 6.091
_cell_length_b 6.091
_cell_length_c 6.091
_cell_angle_alpha 90.00
_cell_angle_beta 90.00
_cell_angle_gamma 90.00
loop_
_atom_site_label
_atom_site_type_symbol
_atom_site_fract_x
_atom_site_fract_y
_atom_site_fract_z
Zn1 Zn 0.000 0.000 0.000
Mo1 Mo 0.250 0.250 0.250
Br1 Br 0.000 0.000 0.500
```

## Properties
Raw formation energy: 0.989 eV/atom
Calculated total energy: -4.085 eV/atom
Calculated density: 7.1 g/cm3
ΔE to the lowest computed polymorph: 723 meV per atom
N(E_F): 3.56 states/eV/f.u.

## Zr6Ga2FeH10 (GGA-PBEsol)

Data for a relaxed structure of Zr6Ga2FeH10.

Structure (CIF):
```
data_Zr6Ga2FeH10
_chemical_formula_sum 'Zr12 Ga4 Fe2 H20'
_symmetry_space_group_name_H-M 'P -6 2 c'
_symmetry_Int_Tables_number 190
_symmetry_space_group_name_Hall 'P -6c -2c'
_cell_length_a 7.9365
_cell_length_b 7.9365
_cell_length_c 7.0546
_cell_angle_alpha 90.00
_cell_angle_beta 90.00
_cell_angle_gamma 120.00
loop_
_atom_site_label
_atom_site_type_symbol
_atom_site_fract_x
_atom_site_fract_y
_atom_site_fract_z
Zr1 Zr 0.0000 0.7395 0.0000
Zr2 Zr 0.0451 0.4249 0.2500
Ga1 Ga 0.3333 0.6667 0.5488
Fe1 Fe 0.0000 0.0000 0.2500
H1 H 0.0000 0.0000 0.0000
H2 H 0.0000 0.2804 0.0000
H3 H 0.1176 0.7095 0.2500
H4 H 0.1194 0.2401 0.7500
```

## Properties
Calculated total energy: -5.956 eV/atom
Calculated density: 6.5 g/cm3
N(E_F): 7.83 states/eV/f.u.

## ErB4Ru4 (GGA-PBEsol)

Data for a relaxed structure of ErB4Ru4.

Structure (CIF):
```
data_ErB4Ru4
_chemical_formula_sum 'Er8 B32 Ru32'
_symmetry_space_group_name_H-M 'I 41/a c d'
_symmetry_Int_Tables_number 142
_cell_length_a 7.387
_cell_length_b 7.387
_cell_length_c 14.875
_cell_angle_alpha 90.00
_cell_angle_beta 90.00
_cell_angle_gamma 90.00
loop_
_symmetry_equiv_pos_as_xyz
'x,y,z'
'-x,-y,-z'
'-y+1/4,x+3/4,z+1/4'
'y+1/4,-x+3/4,-z+1/4'
'-x+1/2,-y,z+1/2'
'x+1/2,y,-z+1/2'
'y+1/4,-x+1/4,z+3/4'
'-y+1/4,x+1/4,-z+3/4'
'x,-y,-z+1/2'
'-x,y,z+1/2'
'-y+1/4,-x+1/4,-z+1/4'
'y+1/4,x+1/4,z+1/4'
'-x+1/2,y,-z'
'x+1/2,-y,z'
'y+1/4,x+3/4,-z+3/4'
'-y+1/4,-x+3/4,z+3/4'
'x+1/2,y+1/2,z+1/2'
'-x+1/2,-y+1/2,-z+1/2'
'-y+3/4,x+1/4,z+3/4'
'y+3/4,-x+1/4,-z+3/4'
'-x,-y+1/2,z'
'x,y+1/2,-z'
'y+3/4,-x+3/4,z+1/4'
'-y+3/4,x+3/4,-z+1/4'
'x+1/2,-y+1/2,-z'
'-x+1/2,y+1/2,z'
'-y+3/4,-x+3/4,-z+3/4'
'y+3/4,x+3/4,z+3/4'
'-x,y+1/2,-z+1/2'
'x,-y+1/2,z+1/2'
'y+3/4,x+1/4,-z+1/4'
'-y+3/4,-x+1/4,z+1/4'
loop_
_atom_site_label
_atom_site_type_symbol
_atom_site_fract_x
_atom_site_fract_y
_atom_site_fract_z
Er1 Er 0.000 0.250 0.125
B1 B 0.141 0.082 0.294
Ru1 Ru 0.116 0.102 0.437
```

## Properties
Calculated total energy: -8.715 eV/atom
Calculated density: 10.1 g/cm3
N(E_F): 7.53 states/eV/f.u.

## IrRh3 (GGA-PBEsol)

Data for a relaxed structure of IrRh3.

Structure (CIF):
```
data_IrRh3
_chemical_formula_sum 'Ir2 Rh6'
_symmetry_space_group_name_H-M 'I m m 2'
_symmetry_Int_Tables_number 44
_symmetry_space_group_name_Hall 'I 2 -2'
_cell_length_a 2.697
_cell_length_b 8.691
_cell_length_c 4.661
_cell_angle_alpha 90.00
_cell_angle_beta 90.00
_cell_angle_gamma 90.00
loop_
_atom_site_label
_atom_site_type_symbol
_atom_site_fract_x
_atom_site_fract_y
_atom_site_fract_z
Ir1 Ir 0.000 0.000 0.000
Rh1 Rh 0.000 0.252 0.332
Rh2 Rh 0.000 0.500 0.998
```

## Properties
Calculated total energy: -8.533 eV/atom
Calculated density: 15.2 g/cm3
N(E_F): 5.41 states/eV/f.u.

## NaOsCl2 (GGA-PBEsol)

Data for a relaxed structure of NaOsCl2.

Structure (CIF):
```
data_NaOsCl2
_chemical_formula_sum 'Na3 Os3 Cl6'
_symmetry_space_group_name_H-M 'R -3 m'
_symmetry_Int_Tables_number 166
_symmetry_space_group_name_Hall '-R 3 2"'
_cell_length_a 3.0666
_cell_length_b 3.0666
_cell_length_c 24.9507
_cell_angle_alpha 90.00
_cell_angle_beta 90.00
_cell_angle_gamma 120.00
loop_
_atom_site_label
_atom_site_type_symbol
_atom_site_fract_x
_atom_site_fract_y
_atom_site_fract_z
Na1 Na 0.0000 0.0000 0.0000
Os1 Os 0.0000 0.0000 0.5000
Cl1 Cl 0.0000 0.0000 0.4094
```

## Properties
Raw formation energy: -0.087 eV/atom
Calculated total energy: -4.495 eV/atom
Calculated density: 7.0 g/cm3
ΔE to the lowest computed polymorph: 0 meV per atom
N(E_F): 3.29 states/eV/f.u.

## BeCoAu (GGA-PBEsol)

Data for a relaxed structure of BeCoAu.

Structure (CIF):
```
data_BeCoAu
_chemical_formula_sum 'Be2 Co2 Au2'
_symmetry_space_group_name_H-M 'I 4 m m'
_symmetry_Int_Tables_number 107
_symmetry_space_group_name_Hall 'I 4 -2'
_cell_length_a 2.735
_cell_length_b 2.735
_cell_length_c 9.230
_cell_angle_alpha 90.00
_cell_angle_beta 90.00
_cell_angle_gamma 90.00
loop_
_atom_site_label
_atom_site_type_symbol
_atom_site_fract_x
_atom_site_fract_y
_atom_site_fract_z
Be1 Be 0.000 0.000 0.000
Co1 Co 0.000 0.000 0.623
Au1 Au 0.000 0.000 0.327
```

## Properties
Calculated total energy: -5.231 eV/atom
Calculated density: 12.7 g/cm3
N(E_F): 3.52 states/eV/f.u.